1.
Here is an optimized crystal structure of ReAs2SeI from Alexandria. Energies are from PBE-GGA.

The structure in POSCAR format:
```
ReAs2SeI
1.0
-0.0360 -3.6816 -3.3137
1.3487 -3.1958 3.5360
-4.6540 -0.8560 1.0015
I Re As Se
1 1 2 1
Cartesian
-1.6706 -3.8667 0.6119
0.0000 0.0000 0.0000
0.6744 -1.5979 1.7680
-0.0180 -1.8408 -1.6568
-2.3270 -0.4280 0.5008
```

Calculated values
* polymorph energy (0 for the lowest one): 0 meV/atom
* ΔE_f (raw): 0.466 eV/atom
* SG: No. 123
* V: 118.68 Å³ per cell

***

2.
Here is an optimized crystal structure of ReTe2AsI from Alexandria. Energies are from PBE-GGA.

The structure in POSCAR format:
```
ReTe2AsI
1.0
-2.5780 -4.4436 0.2913
3.7514 -2.3485 -2.6244
2.5822 -1.1865 4.7528
I Re As Te
1 1 1 2
Cartesian
1.2911 -0.5933 2.3764
0.0000 0.0000 0.0000
1.8778 -3.9893 1.2098
1.8757 -1.1742 -1.3122
-1.2890 -2.2218 0.1456
```

Calculated values
* polymorph energy (0 for the lowest one): 0 meV/atom
* ΔE_f (raw): 0.918 eV/atom
* SG: No. 123
* V: 146.62 Å³ per cell

***

3.
Here is an optimized crystal structure of ReTe2AsI from Alexandria. Energies are from PBE-GGA.

The structure in POSCAR format:
```
ReTe2AsI
1.0
-3.7201 3.4686 -2.1287
-2.6364 0.1430 4.8404
3.0630 4.2322 1.5433
I Re As Te
1 1 1 2
Cartesian
1.5315 2.1161 0.7717
-1.6468 3.9219 2.1276
0.0000 0.0000 0.0000
-1.3182 0.0715 2.4202
-1.8600 1.7343 -1.0643
```

Calculated values
* polymorph energy (0 for the lowest one): 565 meV/atom
* ΔE_f (raw): 1.482 eV/atom
* SG: No. 123
* V: 165.61 Å³ per cell

***

4.
Here is an optimized crystal structure of As3RhI from Alexandria. Energies are from PBE-GGA.

The structure in POSCAR format:
```
As3RhI
1.0
-0.6068 -0.1412 4.8723
4.8198 -0.7501 0.5785
0.7274 4.8523 0.2312
I As Rh
1 3 1
Cartesian
2.4702 1.9805 2.8410
2.4099 -0.3751 0.2893
0.3637 2.4262 0.1156
-0.3034 -0.0706 2.4362
0.0000 0.0000 0.0000
```

Calculated values
* polymorph energy (0 for the lowest one): 0 meV/atom
* ΔE_f (raw): 0.476 eV/atom
* SG: No. 221
* V: 118.52 Å³ per cell

***

5.
Here is an optimized crystal structure of As2RhI from Alexandria. Energies are from PBE-GGA.

The structure in POSCAR format:
```
As2RhI
1.0
0.0000 3.4061 3.4061
3.4061 0.0000 3.4061
3.4061 3.4061 0.0000
I As Rh
1 2 1
Cartesian
3.4061 3.4061 3.4061
1.7030 1.7030 1.7030
5.1091 5.1091 5.1091
0.0000 0.0000 0.0000
```

Calculated values
* polymorph energy (0 for the lowest one): 592 meV/atom
* ΔE_f (raw): 0.697 eV/atom
* SG: No. 225
* V: 79.03 Å³ per cell

***

6.
Here is an optimized crystal structure of As2Rh2I from Alexandria. Energies are from PBE-GGA.

The structure in POSCAR format:
```
As2Rh2I
1.0
-0.5104 -1.6746 3.4944
-3.4087 -1.4822 -1.2082
1.9873 -8.4435 -1.5704
I As Rh
1 2 2
Cartesian
0.0000 0.0000 0.0000
-0.6765 -3.8102 0.2610
-1.2554 -7.7901 0.4549
-0.2414 -5.8483 1.5336
-1.6905 -5.7520 -0.8177
```

Calculated values
* ΔE_f (raw): -0.235 eV/atom
* SG: No. 139
* V: 127.87 Å³ per cell

***

7.
Here is an optimized crystal structure of AsRhI from Alexandria. Energies are from PBE-GGA.

The structure in POSCAR format:
```
AsRhI
1.0
-4.8250 3.2346 2.4690
2.6404 -0.9487 6.4026
2.5678 5.6262 -2.3527
I As Rh
4 4 4
Cartesian
2.1899 4.0425 4.8494
-1.8067 3.8696 1.6695
2.0017 0.4949 5.4651
-1.6184 7.4173 1.0538
-0.4196 1.5395 3.0635
0.8028 6.3727 3.4554
-1.5974 4.3079 5.2030
1.9806 3.6043 1.3159
-0.8898 6.6573 5.2119
-0.0382 2.4126 5.2955
1.2730 1.2548 1.3070
0.4214 5.4996 1.2234
```

Calculated values
* ΔE_f (raw): -0.169 eV/atom
* SG: No. 14
* V: 279.01 Å³ per cell

***

8.
Here is an optimized crystal structure of As2RhI from Alexandria. Energies are from PBE-GGA.

The structure in POSCAR format:
```
As2RhI
1.0
-0.2260 -6.5035 -0.6440
6.2563 -0.0290 -1.9025
4.5760 -3.8296 3.8681
I As Rh
2 4 2
Cartesian
0.0000 0.0000 0.0000
3.6826 -6.7997 0.9754
1.8073 -4.3771 0.3909
5.0034 -2.4371 -0.3668
6.3174 -5.3248 1.7563
8.0845 -8.5853 0.8626
3.0152 -3.2663 -1.2733
6.9237 -3.5624 0.3461
```

Calculated values
* polymorph energy (0 for the lowest one): 0 meV/atom
* ΔE_f (raw): 0.105 eV/atom
* SG: No. 122
* V: 231.02 Å³ per cell

***

9.
Here is an optimized crystal structure of AsRhSe2I from Alexandria. Energies are from PBE-GGA.

The structure in POSCAR format:
```
AsRhSe2I
1.0
-3.2173 -3.3136 2.0563
2.1642 -3.7347 -2.6320
3.0265 -0.7414 3.5405
I As Rh Se
1 1 1 2
Cartesian
0.9867 -3.8948 1.4824
1.5132 -0.3707 1.7703
0.0000 0.0000 0.0000
1.0821 -1.8673 -1.3160
-1.6087 -1.6568 1.0282
```

Calculated values
* polymorph energy (0 for the lowest one): 0 meV/atom
* ΔE_f (raw): 0.382 eV/atom
* SG: No. 123
* V: 120.55 Å³ per cell

***

10.
Here is an optimized crystal structure of As2RhSeI from Alexandria. Energies are from PBE-GGA.

The structure in POSCAR format:
```
As2RhSeI
1.0
4.7823 0.0000 0.0000
0.0000 4.7823 0.0000
0.0000 0.0000 5.2626
I As Rh Se
1 2 1 1
Cartesian
2.3912 2.3912 2.6313
0.0000 2.3912 0.0000
2.3912 0.0000 0.0000
0.0000 0.0000 0.0000
0.0000 0.0000 2.6313
```

Calculated values
* polymorph energy (0 for the lowest one): 0 meV/atom
* ΔE_f (raw): 0.414 eV/atom
* SG: No. 123
* V: 120.36 Å³ per cell

***

11.
Here is an optimized crystal structure of Sm8AsRh3I4 from Alexandria. Energies are from PBE-GGA.

The structure in POSCAR format:
```
Sm8AsRh3I4
1.0
-5.7367 5.4755 -2.8612
-2.8286 -6.2506 -6.2904
-0.1197 -2.3911 8.0851
Sm As Rh I
8 1 3 4
Cartesian
-3.4056 -5.2571 2.6888
-3.3482 -4.1171 -1.1657
-2.5062 -1.7709 1.6359
-6.1403 -2.6469 1.3249
-2.5447 -0.5193 -2.3914
-6.1788 -1.3952 -2.7025
-5.3368 0.9509 0.0991
-5.2794 2.0909 -3.7554
-1.4143 -3.1253 -3.1452
-4.2826 -0.3875 -4.5758
-4.3425 -1.5831 -0.5333
-1.4742 -4.3208 0.8973
-2.8684 2.7378 -1.4306
-2.9282 1.5422 2.6119
0.0000 0.0000 0.0000
-0.0599 -1.1956 4.0425
```

Calculated values
* ΔE_f (raw): -0.980 eV/atom
* SG: No. 166
* V: 488.33 Å³ per cell

***

12.
Here is an optimized crystal structure of Te2AsRhI from Alexandria. Energies are from PBE-GGA.

The structure in POSCAR format:
```
Te2AsRhI
1.0
5.4596 0.0000 0.0000
0.0000 5.4596 0.0000
0.0000 0.0000 5.4488
I As Te Rh
1 1 2 1
Cartesian
0.0000 0.0000 2.7244
0.0000 0.0000 0.0000
0.0000 2.7298 0.0000
2.7298 0.0000 0.0000
2.7298 2.7298 2.7244
```

Calculated values
* polymorph energy (0 for the lowest one): 505 meV/atom
* ΔE_f (raw): 1.031 eV/atom
* SG: No. 123
* V: 162.41 Å³ per cell